Entry 1:
# PBE PrGaIrN, relaxed
data_PrGaIrN
_chemical_formula_sum 'Pr2 Ga2 Ir2 N2'
_cell_length_a 3.948
_cell_length_b 3.948
_cell_length_c 8.948
_cell_angle_alpha 90.00
_cell_angle_beta 90.00
_cell_angle_gamma 90.00
_symmetry_space_group_name_H-M 'P 1'
_symmetry_Int_Tables_number 1
loop_
_symmetry_equiv_pos_as_xyz
'x,y,z'
loop_
_atom_site_label
_atom_site_type_symbol
_atom_site_fract_x
_atom_site_fract_y
_atom_site_fract_z
_atom_site_occupancy
Pr1 Pr 0.000 0.500 0.855 1
Pr2 Pr 0.500 0.000 0.145 1
Ga1 Ga 0.000 0.500 0.333 1
Ga2 Ga 0.500 0.000 0.667 1
Ir1 Ir 0.000 0.000 0.500 1
Ir2 Ir 0.500 0.500 0.500 1
N1 N 0.500 0.000 0.883 1
N2 N 0.000 0.500 0.117 1
# theoretical density = 9.93 Mg/m³
# uncorrected formation energy = -749 meV per atom
# space-group type = P4/nmm

Entry 2:
# PBE Sc2FeCl, relaxed
data_Sc2FeCl
_chemical_formula_sum 'Sc2 Fe1 Cl1'
_cell_length_a 4.736
_cell_length_b 4.736
_cell_length_c 4.736
_cell_angle_alpha 60.00
_cell_angle_beta 60.00
_cell_angle_gamma 60.00
_symmetry_space_group_name_H-M 'P 1'
_symmetry_Int_Tables_number 1
loop_
_symmetry_equiv_pos_as_xyz
'x,y,z'
loop_
_atom_site_label
_atom_site_type_symbol
_atom_site_fract_x
_atom_site_fract_y
_atom_site_fract_z
_atom_site_occupancy
Cl1 Cl 0.500 0.500 0.500 1
Fe1 Fe 0.750 0.750 0.750 1
Sc1 Sc 0.000 0.000 0.000 1
Sc2 Sc 0.250 0.250 0.250 1
# theoretical density = 4.01 Mg/m³
# energy relative to the lowest polymorph listed for this composition = 1.1127 eV/atom
# uncorrected formation energy = 407 meV per atom
# space-group type = F-43m